*w*
Compound: Pm4Pr3Y8
Source: Alexandria via LeMat-Bulk
Functional: PBE
Structure: optimized geometry

The magnetization comes out at 0.0001 μB/atom. The crystal system is monoclinic. The calculation puts the density of states at the Fermi level at 31.812 states/eV/f.u.

Unit cell a=6.829 b=9.404 c=9.404 alpha=87.22 beta=111.31 gamma=111.31
Sites, in units of the cell vectors:
1 Pm 0.500 0.000 0.000
2 Pm 0.000 0.500 0.000
3 Pm 0.000 0.000 0.000
4 Pm 0.000 0.000 0.500
5 Pr 0.500 0.500 0.000
6 Pr 0.500 0.000 0.500
7 Pr 0.500 0.500 0.500
8 Y 0.529 0.267 0.267
9 Y 0.000 0.642 0.358
10 Y 0.007 0.265 0.265
11 Y 0.500 0.746 0.254
12 Y 0.500 0.254 0.746
13 Y 0.993 0.735 0.735
14 Y 0.000 0.358 0.642
15 Y 0.471 0.733 0.733

*x*
Compound: Pm4Pr3Y8
Source: Alexandria via LeMat-Bulk
Functional: PBE
Structure: optimized geometry

The magnetization comes out at 0.0000 μB/atom. The crystal system is trigonal. The calculation puts the density of states at the Fermi level at 24.098 states/eV/f.u.

Unit cell a=7.064 b=7.064 c=12.606 alpha=73.73 beta=73.73 gamma=60.00
Sites, in units of the cell vectors:
1 Pm 0.000 0.000 0.000
2 Pm 0.336 0.336 0.992
3 Pm 0.500 0.500 0.500
4 Pm 0.664 0.664 0.008
5 Pr 0.500 0.000 0.500
6 Pr 0.000 0.000 0.500
7 Pr 0.000 0.500 0.500
8 Y 0.246 0.246 0.262
9 Y 0.251 0.751 0.248
10 Y 0.751 0.751 0.248
11 Y 0.751 0.251 0.248
12 Y 0.754 0.754 0.738
13 Y 0.749 0.249 0.752
14 Y 0.249 0.249 0.752
15 Y 0.249 0.749 0.752

The most stable of them is *x*.

*w*
Compound: Pm4Pr2Y
Source: Alexandria via LeMat-Bulk
Functional: PBE
Structure: optimized geometry

The magnetization comes out at 0.0000 μB/atom. The crystal system is orthorhombic. The calculation puts the density of states at the Fermi level at 9.204 states/eV/f.u.

Unit cell a=3.803 b=14.093 c=18.915 alpha=90.00 beta=90.00 gamma=90.00
Sites, in units of the cell vectors:
1 Pm 0.000 0.688 0.553
2 Pm 0.500 0.812 0.447
3 Pm 0.000 0.188 0.947
4 Pm 0.500 0.312 0.053
5 Pm 0.000 0.312 0.447
6 Pm 0.500 0.188 0.553
7 Pm 0.000 0.812 0.053
8 Pm 0.500 0.688 0.947
9 Pm 0.000 0.084 0.678
10 Pm 0.500 0.416 0.322
11 Pm 0.000 0.584 0.822
12 Pm 0.500 0.916 0.178
13 Pm 0.000 0.916 0.322
14 Pm 0.500 0.584 0.678
15 Pm 0.000 0.416 0.178
16 Pm 0.500 0.084 0.822
17 Pr 0.000 0.871 0.847
18 Pr 0.500 0.629 0.153
19 Pr 0.000 0.371 0.653
20 Pr 0.500 0.129 0.347
21 Pr 0.000 0.129 0.153
22 Pr 0.500 0.371 0.847
23 Pr 0.000 0.629 0.347
24 Pr 0.500 0.871 0.653
25 Y 0.000 0.000 0.500
26 Y 0.500 0.500 0.500
27 Y 0.000 0.500 0.000
28 Y 0.500 0.000 0.000

*x*
Compound: Pm4Pr2Y
Source: Alexandria via LeMat-Bulk
Functional: PBE
Structure: optimized geometry

The magnetization comes out at 0.0000 μB/atom. The crystal system is trigonal. The calculation puts the density of states at the Fermi level at 9.402 states/eV/f.u.

Unit cell a=3.660 b=3.660 c=20.987 alpha=85.00 beta=85.00 gamma=60.00
Sites, in units of the cell vectors:
1 Pm 0.143 0.143 0.571
2 Pm 0.287 0.287 0.140
3 Pm 0.713 0.713 0.860
4 Pm 0.857 0.857 0.429
5 Pr 0.428 0.428 0.716
6 Pr 0.572 0.572 0.284
7 Y 0.000 0.000 0.000

The most stable of them is *x*.

*w*
Compound: Pm5PrY3
Source: Alexandria via LeMat-Bulk
Functional: PBE
Structure: optimized geometry

The magnetization comes out at 0.0000 μB/atom. The crystal system is orthorhombic. The calculation puts the density of states at the Fermi level at 12.649 states/eV/f.u.

Unit cell a=9.428 b=10.040 c=7.354 alpha=90.00 beta=90.00 gamma=118.00
Sites, in units of the cell vectors:
1 Pm 0.337 0.000 0.750
2 Pm 0.512 0.671 0.999
3 Pm 0.841 0.329 0.999
4 Pm 0.488 0.329 0.001
5 Pm 0.512 0.671 0.501
6 Pm 0.663 0.000 0.250
7 Pm 0.159 0.671 0.499
8 Pm 0.841 0.329 0.501
9 Pm 0.488 0.329 0.499
10 Pm 0.159 0.671 0.001
11 Pr 0.699 0.000 0.750
12 Pr 0.301 0.000 0.250
13 Y 0.000 0.000 0.000
14 Y 0.821 0.643 0.250
15 Y 0.000 0.000 0.500
16 Y 0.179 0.357 0.750
17 Y 0.821 0.643 0.750
18 Y 0.179 0.357 0.250

*x*
Compound: Pm5PrY3
Source: Alexandria via LeMat-Bulk
Functional: PBE
Structure: optimized geometry

The magnetization comes out at 0.0000 μB/atom. The crystal system is monoclinic. The calculation puts the density of states at the Fermi level at 13.095 states/eV/f.u.

Unit cell a=9.456 b=9.456 c=12.895 alpha=52.01 beta=52.01 gamma=51.51
Sites, in units of the cell vectors:
1 Pm 0.915 0.511 0.224
2 Pm 0.318 0.682 0.000
3 Pm 0.630 0.630 0.065
4 Pm 0.441 0.441 0.428
5 Pm 0.559 0.559 0.572
6 Pm 0.370 0.370 0.935
7 Pm 0.511 0.915 0.224
8 Pm 0.682 0.318 0.000
9 Pm 0.085 0.489 0.776
10 Pm 0.489 0.085 0.776
11 Pr 0.893 0.893 0.869
12 Pr 0.107 0.107 0.131
13 Y 0.700 0.700 0.687
14 Y 0.836 0.836 0.344
15 Y 0.000 0.000 0.000
16 Y 0.000 0.000 0.500
17 Y 0.300 0.300 0.313
18 Y 0.164 0.164 0.656

The most stable of them is *w*.

*w*
Compound: Pm12Pr2Y5
Source: Alexandria via LeMat-Bulk
Functional: PBE
Structure: optimized geometry

The magnetization comes out at 0.0000 μB/atom. The crystal system is monoclinic. The calculation puts the density of states at the Fermi level at 27.943 states/eV/f.u.

Unit cell a=10.176 b=9.595 c=11.490 alpha=53.02 beta=90.00 gamma=122.02
Sites, in units of the cell vectors:
1 Pm 0.097 0.194 0.106
2 Pm 0.052 0.602 0.800
3 Pm 0.550 0.602 0.800
4 Pm 0.147 0.795 0.402
5 Pm 0.648 0.795 0.402
6 Pm 0.396 0.793 0.907
7 Pm 0.604 0.207 0.093
8 Pm 0.853 0.205 0.598
9 Pm 0.352 0.205 0.598
10 Pm 0.948 0.398 0.200
11 Pm 0.450 0.398 0.200
12 Pm 0.903 0.806 0.894
13 Pr 0.750 0.000 0.000
14 Pr 0.250 0.000 0.000
15 Y 0.196 0.392 0.700
16 Y 0.298 0.595 0.300
17 Y 0.000 0.000 0.500
18 Y 0.702 0.405 0.700
19 Y 0.804 0.608 0.300

*x*
Compound: Pm12Pr2Y5
Source: Alexandria via LeMat-Bulk
Functional: PBE
Structure: optimized geometry

The magnetization comes out at 0.0000 μB/atom. The crystal system is monoclinic. The calculation puts the density of states at the Fermi level at 27.140 states/eV/f.u.

Unit cell a=11.793 b=10.772 c=6.260 alpha=100.49 beta=90.00 gamma=123.19
Sites, in units of the cell vectors:
1 Pm 0.124 0.247 0.996
2 Pm 0.059 0.603 0.800
3 Pm 0.544 0.603 0.800
4 Pm 0.145 0.792 0.386
5 Pm 0.646 0.792 0.386
6 Pm 0.445 0.889 0.725
7 Pm 0.555 0.111 0.275
8 Pm 0.855 0.208 0.614
9 Pm 0.354 0.208 0.614
10 Pm 0.941 0.397 0.200
11 Pm 0.456 0.397 0.200
12 Pm 0.876 0.753 0.004
13 Pr 0.775 0.000 0.000
14 Pr 0.225 0.000 0.000
15 Y 0.215 0.430 0.548
16 Y 0.324 0.649 0.141
17 Y 0.000 0.000 0.500
18 Y 0.676 0.351 0.859
19 Y 0.785 0.570 0.452

The most stable of them is *x*.